Compound: Nd4In12Ir
Source: the Alexandria database
Functional: PBE-GGA
Structure: relaxed

```
data_Nd4In12Ir
_chemical_formula_sum 'Nd8 In24 Ir2'
_symmetry_space_group_name_H-M 'I m -3 m'
_symmetry_Int_Tables_number 229
_symmetry_space_group_name_Hall '-I 4 2 3'
_cell_length_a 9.511
_cell_length_b 9.511
_cell_length_c 9.511
_cell_angle_alpha 90.00
_cell_angle_beta 90.00
_cell_angle_gamma 90.00
loop_
_atom_site_label
_atom_site_fract_x
_atom_site_fract_y
_atom_site_fract_z
Nd1 0.250 0.250 0.250
In1 0.000 0.000 0.282
In2 0.000 0.250 0.500
Ir1 0.000 0.000 0.000
```

Computed properties:
ΔH_f (0 K) in kJ/mol of atoms: -43.3
Density of states at the Fermi level in states/eV/f.u.: 7.8
Total moment in Bohr magnetons per cell: 0.0
Final energy in eV per atom: -4.024

Compound: NdIn12Ir6
Source: the Alexandria database
Functional: PBE-GGA
Structure: relaxed

```
data_NdIn12Ir6
_chemical_formula_sum 'Nd3 In36 Ir18'
_symmetry_space_group_name_H-M 'R -3 m'
_symmetry_Int_Tables_number 166
_symmetry_space_group_name_Hall '-R 3 2"'
_cell_length_a 12.5457
_cell_length_b 12.5457
_cell_length_c 9.1454
_cell_angle_alpha 90.00
_cell_angle_beta 90.00
_cell_angle_gamma 120.00
loop_
_atom_site_label
_atom_site_fract_x
_atom_site_fract_y
_atom_site_fract_z
Nd1 0.0000 0.0000 0.0000
In1 0.0000 0.3803 0.5000
In2 0.0872 0.1745 0.3211
Ir1 0.0520 0.5260 0.2558
```

Computed properties:
ΔH_f (0 K) in kJ/mol of atoms: -10.6
Density of states at the Fermi level in states/eV/f.u.: 10.3
Total moment in Bohr magnetons per cell: 0.0
Final energy in eV per atom: -4.889

Compound: Nd4InIr
Source: the Alexandria database
Functional: PBE-GGA
Structure: relaxed

```
data_Nd4InIr
_chemical_formula_sum 'Nd64 In16 Ir16'
_symmetry_space_group_name_H-M 'F -4 3 m'
_symmetry_Int_Tables_number 216
_symmetry_space_group_name_Hall 'F -4 2 3'
_cell_length_a 14.123
_cell_length_b 14.123
_cell_length_c 14.123
_cell_angle_alpha 90.00
_cell_angle_beta 90.00
_cell_angle_gamma 90.00
loop_
_atom_site_label
_atom_site_fract_x
_atom_site_fract_y
_atom_site_fract_z
Nd1 0.000 0.000 0.190
Nd2 0.058 0.250 0.250
Nd3 0.099 0.099 0.599
In1 0.169 0.169 0.831
Ir1 0.109 0.109 0.391
```

Computed properties:
ΔH_f (0 K) in kJ/mol of atoms: -47.5
Density of states at the Fermi level in states/eV/f.u.: 4.6
Total moment in Bohr magnetons per cell: 0.0
Energy relative to the lowest polymorph listed for this composition in eV/atom: 0.000
Final energy in eV per atom: -5.604

Compound: Nd8In2Ir3
Source: the Alexandria database
Functional: PBE-GGA
Structure: relaxed

```
data_Nd8In2Ir3
_chemical_formula_sum 'Nd16 In4 Ir6'
_symmetry_space_group_name_H-M 'C 1 2/m 1'
_symmetry_Int_Tables_number 12
_symmetry_space_group_name_Hall '-C 2y'
_cell_length_a 16.706
_cell_length_b 7.746
_cell_length_c 7.074
_cell_angle_alpha 90.00
_cell_angle_beta 109.29
_cell_angle_gamma 90.00
loop_
_atom_site_label
_atom_site_fract_x
_atom_site_fract_y
_atom_site_fract_z
Nd1 0.091 0.000 0.417
Nd2 0.097 0.257 0.902
Nd3 0.145 0.500 0.485
In1 0.247 0.000 0.844
Ir1 0.000 0.000 0.000
Ir2 0.000 0.304 0.500
```

Computed properties:
ΔH_f (0 K) in kJ/mol of atoms: -35.9
Density of states at the Fermi level in states/eV/f.u.: 11.9
Total moment in Bohr magnetons per cell: 0.0
Energy relative to the lowest polymorph listed for this composition in eV/atom: 0.026
Final energy in eV per atom: -5.772

Compound: Nd5In2Ir2
Source: the Alexandria database
Functional: PBE-GGA
Structure: relaxed

```
data_Nd5In2Ir2
_chemical_formula_sum 'Nd20 In8 Ir8'
_symmetry_space_group_name_H-M 'C m c e'
_symmetry_Int_Tables_number 64
_symmetry_space_group_name_Hall '-C 2ac 2'
_cell_length_a 16.336
_cell_length_b 7.434
_cell_length_c 8.410
_cell_angle_alpha 90.00
_cell_angle_beta 90.00
_cell_angle_gamma 90.00
loop_
_atom_site_label
_atom_site_fract_x
_atom_site_fract_y
_atom_site_fract_z
Nd1 0.000 0.000 0.000
Nd2 0.119 0.168 0.318
In1 0.217 0.000 0.000
Ir1 0.000 0.124 0.622
```

Computed properties:
ΔH_f (0 K) in kJ/mol of atoms: -48.8
Density of states at the Fermi level in states/eV/f.u.: 7.1
Total moment in Bohr magnetons per cell: 0.0
Final energy in eV per atom: -5.732

Compound: NdInNiIr
Source: the Alexandria database
Functional: PBE-GGA
Structure: relaxed

```
data_NdInNiIr
_chemical_formula_sum 'Nd4 In4 Ni4 Ir4'
_symmetry_space_group_name_H-M 'F -4 3 m'
_symmetry_Int_Tables_number 216
_symmetry_space_group_name_Hall 'F -4 2 3'
_cell_length_a 6.757
_cell_length_b 6.757
_cell_length_c 6.757
_cell_angle_alpha 90.00
_cell_angle_beta 90.00
_cell_angle_gamma 90.00
loop_
_atom_site_label
_atom_site_fract_x
_atom_site_fract_y
_atom_site_fract_z
Nd1 0.000 0.000 0.000
In1 0.000 0.000 0.500
Ni1 0.250 0.250 0.750
Ir1 0.250 0.250 0.250
```

Computed properties:
ΔH_f (0 K) in kJ/mol of atoms: -27.8
Density of states at the Fermi level in states/eV/f.u.: 3.4
Total moment in Bohr magnetons per cell: 0.0
Final energy in eV per atom: -5.826

Compound: NdIn2IrO8
Source: the Alexandria database
Functional: PBE-GGA
Structure: relaxed

```
data_NdIn2IrO8
_chemical_formula_sum 'Nd2 In4 Ir2 O16'
_symmetry_space_group_name_H-M 'C m m m'
_symmetry_Int_Tables_number 65
_symmetry_space_group_name_Hall '-C 2 2'
_cell_length_a 6.994
_cell_length_b 7.040
_cell_length_c 6.777
_cell_angle_alpha 90.00
_cell_angle_beta 90.00
_cell_angle_gamma 90.00
loop_
_atom_site_label
_atom_site_fract_x
_atom_site_fract_y
_atom_site_fract_z
Nd1 0.000 0.000 0.000
In1 0.000 0.500 0.256
Ir1 0.000 0.000 0.500
O1 0.000 0.188 0.295
O2 0.181 0.500 0.000
O3 0.218 0.500 0.500
```

Computed properties:
E_form (uncorrected) in eV/atom: -1.438
Density of states at the Fermi level in states/eV/f.u.: 5.4
Total moment in Bohr magnetons per cell: 4.5
Final energy in eV per atom: -6.335

Compound: NdInIrPd
Source: the Alexandria database
Functional: PBE-GGA
Structure: relaxed

```
data_NdInIrPd
_chemical_formula_sum 'Nd4 In4 Ir4 Pd4'
_symmetry_space_group_name_H-M 'F -4 3 m'
_symmetry_Int_Tables_number 216
_symmetry_space_group_name_Hall 'F -4 2 3'
_cell_length_a 6.873
_cell_length_b 6.873
_cell_length_c 6.873
_cell_angle_alpha 90.00
_cell_angle_beta 90.00
_cell_angle_gamma 90.00
loop_
_atom_site_label
_atom_site_fract_x
_atom_site_fract_y
_atom_site_fract_z
Nd1 0.000 0.000 0.000
In1 0.000 0.000 0.500
Ir1 0.250 0.250 0.250
Pd1 0.250 0.250 0.750
```

Computed properties:
ΔH_f (0 K) in kJ/mol of atoms: -50.7
Density of states at the Fermi level in states/eV/f.u.: 2.6
Total moment in Bohr magnetons per cell: 0.0
Final energy in eV per atom: -5.916

Copy entry 7 word for word.
Compound: NdIn2IrO8
Source: the Alexandria database
Functional: PBE-GGA
Structure: relaxed

```
data_NdIn2IrO8
_chemical_formula_sum 'Nd2 In4 Ir2 O16'
_symmetry_space_group_name_H-M 'C m m m'
_symmetry_Int_Tables_number 65
_symmetry_space_group_name_Hall '-C 2 2'
_cell_length_a 6.994
_cell_length_b 7.040
_cell_length_c 6.777
_cell_angle_alpha 90.00
_cell_angle_beta 90.00
_cell_angle_gamma 90.00
loop_
_atom_site_label
_atom_site_fract_x
_atom_site_fract_y
_atom_site_fract_z
Nd1 0.000 0.000 0.000
In1 0.000 0.500 0.256
Ir1 0.000 0.000 0.500
O1 0.000 0.188 0.295
O2 0.181 0.500 0.000
O3 0.218 0.500 0.500
```

Computed properties:
E_form (uncorrected) in eV/atom: -1.438
Density of states at the Fermi level in states/eV/f.u.: 5.4
Total moment in Bohr magnetons per cell: 4.5
Final energy in eV per atom: -6.335